This record from Alexandria describes a PBEsol-optimized structure of SrZrSe. The functional is meta-GGA SCAN.

Structure (POSCAR):
```
SrZrSe
1.0
3.737 0.000 0.000
-1.868 3.236 0.000
0.000 0.000 6.659
Se Sr Zr
1 1 1
direct
0.000 0.000 0.025
0.333 0.667 0.712
0.667 0.333 0.263
```

Uncorrected energy: -75.6 eV per cell
Formation energy from raw total energies: -0.859 eV/atom